Entry from Alexandria via LeMat-Bulk: a relaxed structure of CaCeMg2 (PBE-GGA).

a b c (Å): 5.5206 5.5206 5.5206
angles (deg): 60.00 60.00 60.00
Element x y z (fractional)
Ca (0.0000, 0.0000, 0.0000)
Mg (0.2500, 0.2500, 0.2500)
Mg (0.7500, 0.7500, 0.7500)
Ce (0.5000, 0.5000, 0.5000)

Output
Calculated density, g cm⁻³: 3.194
DOS at the Fermi energy, states/eV/cell: 7.385
DFT formation energy, eV/atom: 0.014